# 1
VASP calculation (PBE-GGA) on a relaxed AlV4Ni15 crystal.

abc: 3.5548 3.5548 17.8027
angles: 90.00 90.00 90.00
Last column: nearest neighbours and their distance in Å.
Space group P4/mmm (No. 123)
Symmetry-distinct sites (fractional):
Al 0.0000 0.0000 0.0000  12 Ni 2.51-2.54
V 0.0000 0.0000 0.1978  12 Ni 2.46-2.54
V 0.0000 0.0000 0.3998  12 Ni 2.51-2.52
Ni 0.0000 0.5000 0.1021  2 V 2.46, 8 Ni 2.50-2.54, 2 Al 2.54
Ni 0.0000 0.5000 0.2996  8 Ni 2.50-2.52, 4 V 2.52-2.54
Ni 0.0000 0.5000 0.5000  8 Ni 2.51-2.52, 4 V 2.52
Ni 0.5000 0.5000 0.0000  4 Al 2.51, 8 Ni 2.54
Ni 0.5000 0.5000 0.2008  8 Ni 2.50, 4 V 2.51
Ni 0.5000 0.5000 0.3996  4 V 2.51, 8 Ni 2.52

Computed properties:
D(E_F)	0.9686	states/eV/atom
E_tot	-0.484	Ry/atom
spin magnetization	3.2	Bohr magnetons per cell

=====

# 2
VASP calculation (PBE-GGA) on a relaxed NaHoMg crystal.

abc: 5.9580 3.4141 17.6165
angles: 90.00 97.25 90.00
Last column: nearest neighbours and their distance in Å.
Space group C2/m (No. 12)
Symmetry-distinct sites (fractional):
Na 0.1877 0.0000 0.0933  7 Na 3.41-3.74, 3 Ho 3.70-3.73
Ho 0.0801 0.5000 0.2736  3 Mg 3.35, 6 Ho 3.41-3.43, 3 Na 3.70-3.73
Mg 0.1939 0.5000 0.5718  9 Mg 3.19-3.43, 3 Ho 3.35

Computed properties:
D(E_F)	0.9553	states/eV/atom
excess energy over the best structure of this formula in the dataset	0	meV per atom
E_tot	-0.175	Ry/atom
spin magnetization	0.0	Bohr magnetons per cell

=====

# 3
VASP calculation (PBE-GGA) on a relaxed Tl2HgGeI6 crystal.

abc: 8.2990 8.2990 24.1260
angles: 90.00 90.00 120.00
Last column: nearest neighbours and their distance in Å.
Space group R3 (No. 146, hexagonal axes)
Symmetry-distinct sites (fractional):
Tl 0.0000 0.0000 0.0000  6 I 3.48-3.63
Tl 0.0000 0.0000 0.4801  6 I 3.50-3.62
Hg 0.0000 0.0000 0.2556  3 I 2.77
Ge 0.0000 0.0000 0.6985  3 I 2.80
I 0.0228 0.6237 0.4233  1 Ge 2.80
I 0.0566 0.3578 0.2575  1 Hg 2.77

Computed properties:
D(E_F)	0.0000	states/eV/atom
E_tot	-0.171	Ry/atom
formation energy from raw total energies	-425	meV/atom
spin magnetization	0.0	Bohr magnetons per cell

=====

# 4
VASP calculation (PBE-GGA) on a relaxed La10Ge4N3 crystal.

abc: 5.0044 5.0044 35.6911
angles: 90.00 90.00 90.00
Last column: nearest neighbours and their distance in Å.
Space group I4/mmm (No. 139)
Symmetry-distinct sites (fractional):
La 0.0000 0.0000 0.0698  2 N 2.49-2.71
La 0.0000 0.0000 0.2153  1 N 2.49
La 0.0000 0.5000 0.0000  2 N 2.50
La 0.0000 0.5000 0.1397  2 N 2.51
Ge 0.0000 0.0000 0.3028  5 La 3.12-3.24
Ge 0.0000 0.0000 0.4314  12 La 3.50-3.56
N 0.0000 0.0000 0.0000  6 La 2.49-2.50
N 0.0000 0.0000 0.1456  6 La 2.49-2.71

Computed properties:
D(E_F)	0.6188	states/eV/atom
E_tot	-0.468	Ry/atom
formation energy from raw total energies	-918	meV/atom
spin magnetization	0.0	Bohr magnetons per cell

=====

# 5
VASP calculation (PBE-GGA) on a relaxed Ba2AcCu3O6 crystal.

abc: 3.9808 3.9808 12.2616
angles: 90.00 90.00 90.00
Last column: nearest neighbours and their distance in Å.
Space group P4/mmm (No. 123)
Symmetry-distinct sites (fractional):
Ba 0.0000 0.0000 0.1903  8 O 2.86-2.91
Ac 0.0000 0.0000 0.5000  8 O 2.61
Cu 0.5000 0.5000 0.0000  2 O 1.81
Cu 0.5000 0.5000 0.3466  4 O 2.00
O 0.0000 0.5000 0.3629  2 Cu 2.00
O 0.5000 0.5000 0.1473  1 Cu 1.81

Computed properties:
D(E_F)	0.6161	states/eV/atom
E_tot	-0.441	Ry/atom
formation energy from raw total energies	-1838	meV/atom
spin magnetization	0.4	Bohr magnetons per cell

=====

# 6
VASP calculation (PBE-GGA) on a relaxed K2Ag4SnSb3 crystal.

abc: 4.7679 4.7679 11.9662
angles: 90.00 90.00 90.00
Last column: nearest neighbours and their distance in Å.
Space group P-4m2 (No. 115)
Symmetry-distinct sites (fractional):
K 0.0000 0.5000 0.2413  6 Sb 3.63-3.91, 8 Ag 3.66-3.74, 2 Sn 3.91
Ag 0.0000 0.0000 0.0000  4 Sb 2.85
Ag 0.0000 0.5000 0.6392  3 Sb 2.76-2.91, 2 Sn 2.91
Ag 0.5000 0.5000 0.0000  4 Sb 2.85
Sn 0.0000 0.0000 0.5000  4 Ag 2.91
Sb 0.0000 0.5000 0.8702  5 Ag 2.76-2.85
Sb 0.5000 0.5000 0.5000  4 Ag 2.91

Computed properties:
D(E_F)	0.4390	states/eV/atom
E_tot	-0.233	Ry/atom
formation energy from raw total energies	-168	meV/atom
spin magnetization	0.0	Bohr magnetons per cell

=====

# 7
VASP calculation (PBE-GGA) on a relaxed Tb5Cd2OsRh2 crystal.

abc: 11.6141 11.6141 3.5508
angles: 90.00 90.00 90.00
Last column: nearest neighbours and their distance in Å.
Space group P4/mbm (No. 127)
Symmetry-distinct sites (fractional):
Tb 0.0000 0.5000 0.0000  4 Rh 2.80
Tb 0.0663 0.1940 0.0000  2 Rh 2.80, 2 Os 2.97
Cd 0.1794 0.6794 0.5000  1 Rh 3.10, 6 Tb 3.44-3.45
Os 0.0000 0.0000 0.5000  8 Tb 2.97
Rh 0.1320 0.3680 0.5000  6 Tb 2.80, 1 Cd 3.10

Computed properties:
D(E_F)	0.4960	states/eV/atom
E_tot	-0.407	Ry/atom
spin magnetization	0.0	Bohr magnetons per cell

=====

# 8
VASP calculation (PBE-GGA) on a relaxed Dy2Ho2Ga4Au crystal.

abc: 7.0175 7.0175 8.8410
angles: 90.00 90.00 90.00
Last column: nearest neighbours and their distance in Å.
Space group I4/mmm (No. 139)
Symmetry-distinct sites (fractional):
Dy 0.0000 0.5000 0.2500  8 Ga 3.32, 4 Ho 3.55
Ho 0.0000 0.0000 0.1865  1 Au 2.77, 4 Ga 2.94
Ga 0.2455 0.2455 0.0000  1 Au 2.53
Au 0.0000 0.0000 0.5000  4 Ga 2.53, 2 Ho 2.77

Computed properties:
D(E_F)	0.7930	states/eV/atom
E_tot	-0.301	Ry/atom
spin magnetization	0.0	Bohr magnetons per cell

=====

# 9
VASP calculation (PBE-GGA) on a relaxed PmPaPt3 crystal.

abc: 4.4522 6.3357 7.9492
angles: 90.00 90.00 90.00
Last column: nearest neighbours and their distance in Å.
Space group Pmmn (No. 59, origin choice 2)
Symmetry-distinct sites (fractional):
Pm 0.2500 0.2500 0.1281  8 Pt 2.94-3.17
Pa 0.2500 0.7500 0.4559  7 Pt 2.72-2.98
Pt 0.2500 0.0291 0.7211  3 Pa 2.75-2.98, 3 Pt 2.80-2.94
Pt 0.2500 0.7500 0.1140  1 Pa 2.72, 4 Pt 2.94, 2 Pm 2.94

Computed properties:
D(E_F)	0.5898	states/eV/atom
E_tot	-0.550	Ry/atom
spin magnetization	0.0	Bohr magnetons per cell

=====

# 10
VASP calculation (PBE-GGA) on a relaxed NbOsSe2 crystal.

abc: 6.3618 6.3618 6.3618
angles: 90.00 90.00 90.00
Last column: nearest neighbours and their distance in Å.
Space group Fm-3m (No. 225)
Symmetry-distinct sites (fractional):
Nb 0.0000 0.0000 0.0000  8 Se 2.75
Os 0.0000 0.0000 0.5000  8 Se 2.75
Se 0.2500 0.2500 0.2500  4 Nb 2.75, 4 Os 2.75

Computed properties:
D(E_F)	0.6403	states/eV/atom
excess energy over the best structure of this formula in the dataset	106	meV per atom
E_tot	-0.506	Ry/atom
formation energy from raw total energies	187	meV/atom
spin magnetization	0.0	Bohr magnetons per cell

=====

# 11
VASP calculation (PBE-GGA) on a relaxed TeSF crystal.

abc: 4.0625 4.0625 4.8633
angles: 90.00 90.00 120.00
Last column: nearest neighbours and their distance in Å.
Space group P3m1 (No. 156)
Symmetry-distinct sites (fractional):
Te 0.0000 0.0000 0.0000  3 F 2.49, 3 S 2.62
S 0.6667 0.3333 0.2421  3 Te 2.62
F 0.3333 0.6667 0.8270  3 Te 2.49

Computed properties:
D(E_F)	0.4086	states/eV/atom
excess energy over the best structure of this formula in the dataset	136	meV per atom
E_tot	-0.268	Ry/atom
formation energy from raw total energies	-598	meV/atom
spin magnetization	0.0	Bohr magnetons per cell

=====

# 12
VASP calculation (PBE-GGA) on a relaxed Sr2CuAg crystal.

abc: 3.8588 3.8588 7.7758
angles: 90.00 90.00 90.00
Last column: nearest neighbours and their distance in Å.
Space group P4/mmm (No. 123)
Symmetry-distinct sites (fractional):
Sr 0.0000 0.0000 0.2404  4 Cu 3.31, 4 Ag 3.39
Cu 0.5000 0.5000 0.0000  8 Sr 3.31
Ag 0.5000 0.5000 0.5000  8 Sr 3.39

Computed properties:
D(E_F)	0.9768	states/eV/atom
E_tot	-0.198	Ry/atom
spin magnetization	0.0	Bohr magnetons per cell

=====

# 13
VASP calculation (PBE-GGA) on a relaxed Ca2WCl crystal.

abc: 4.1738 4.1738 6.2484
angles: 90.00 90.00 90.00
Last column: nearest neighbours and their distance in Å.
Space group P4mm (No. 99)
Symmetry-distinct sites (fractional):
Ca 0.0000 0.0000 0.0000  1 Cl 2.86, 4 W 3.00
Ca 0.5000 0.5000 0.4085  4 Cl 2.97, 2 W 3.10-3.15
W 0.5000 0.5000 0.9126  6 Ca 3.00-3.15
Cl 0.0000 0.0000 0.4578  5 Ca 2.86-2.97

Computed properties:
D(E_F)	0.5207	states/eV/atom
excess energy over the best structure of this formula in the dataset	543	meV per atom
E_tot	-0.317	Ry/atom
formation energy from raw total energies	387	meV/atom
spin magnetization	3.0	Bohr magnetons per cell

=====

# 14
VASP calculation (PBE-GGA) on a relaxed BaHfBeAu2 crystal.

abc: 5.2964 5.2964 5.0792
angles: 90.00 90.00 90.00
Last column: nearest neighbours and their distance in Å.
Space group P4/mmm (No. 123)
Symmetry-distinct sites (fractional):
Ba 0.0000 0.0000 0.0000  8 Au 3.67, 4 Be 3.75
Hf 0.5000 0.5000 0.5000  2 Be 2.54, 4 Au 2.65
Be 0.5000 0.5000 0.0000  2 Hf 2.54
Au 0.0000 0.5000 0.5000  2 Hf 2.65

Computed properties:
D(E_F)	0.7934	states/eV/atom
E_tot	-0.313	Ry/atom
spin magnetization	0.0	Bohr magnetons per cell

=====

# 15
VASP calculation (PBE-GGA) on a relaxed TbPm3Pr4S8 crystal.

abc: 8.0976 8.0976 19.9725
angles: 90.00 90.00 120.00
Last column: nearest neighbours and their distance in Å.
Space group R-3m (No. 166, hexagonal axes)
Symmetry-distinct sites (fractional):
Tb 0.0000 0.0000 0.0000  6 S 2.80
Pm 0.0000 0.5000 0.0000  6 S 2.84
Pr 0.0000 0.0000 0.5000  6 S 2.94
Pr 0.0000 0.5000 0.5000  6 S 2.90
S 0.0000 0.0000 0.2523  3 Pm 2.84, 3 Pr 2.90
S 0.0053 0.5026 0.7464  1 Tb 2.80, 2 Pm 2.84, 3 Pr 2.90-2.94

Computed properties:
D(E_F)	0.5353	states/eV/atom
E_tot	-0.475	Ry/atom
formation energy from raw total energies	-2021	meV/atom
spin magnetization	0.0	Bohr magnetons per cell

=====

# 16
VASP calculation (PBE-GGA) on a relaxed BaZr2Sn2 crystal.

abc: 9.0354 9.0354 3.2436
angles: 90.00 90.00 90.00
Last column: nearest neighbours and their distance in Å.
Space group P4/mbm (No. 127)
Symmetry-distinct sites (fractional):
Ba 0.0000 0.0000 0.0000  2 Ba 3.24, 4 Zr 3.60
Zr 0.1196 0.3804 0.0000  3 Zr 3.06-3.24, 6 Sn 3.12-3.13
Sn 0.1713 0.6713 0.5000  6 Zr 3.12-3.13, 2 Sn 3.24

Computed properties:
D(E_F)	0.9494	states/eV/atom
excess energy over the best structure of this formula in the dataset	0	meV per atom
E_tot	-0.422	Ry/atom
spin magnetization	0.0	Bohr magnetons per cell

=====

# 17
VASP calculation (PBE-GGA) on a relaxed NdErThIn crystal.

abc: 7.7828 7.7828 7.7828
angles: 90.00 90.00 90.00
Last column: nearest neighbours and their distance in Å.
Space group F-43m (No. 216)
Symmetry-distinct sites (fractional):
Nd 0.0000 0.0000 0.0000  4 In 3.37, 4 Th 3.37
Er 0.0000 0.0000 0.5000  4 In 3.37, 4 Th 3.37
Th 0.2500 0.2500 0.7500  4 Er 3.37, 4 Nd 3.37
In 0.2500 0.2500 0.2500  4 Er 3.37, 4 Nd 3.37

Computed properties:
D(E_F)	1.6264	states/eV/atom
E_tot	-0.360	Ry/atom
spin magnetization	0.0	Bohr magnetons per cell

=====

# 18
VASP calculation (PBE-GGA) on a relaxed Tl2Re crystal.

abc: 2.8837 2.8837 17.6638
angles: 90.00 90.00 90.00
Last column: nearest neighbours and their distance in Å.
Space group I4/mmm (No. 139)
Symmetry-distinct sites (fractional):
Tl 0.0000 0.0000 0.1414  4 Tl 2.88, 4 Re 3.22
Re 0.0000 0.0000 0.5000  4 Re 2.88, 8 Tl 3.22

Computed properties:
D(E_F)	0.8503	states/eV/atom
excess energy over the best structure of this formula in the dataset	464	meV per atom
E_tot	-0.345	Ry/atom
spin magnetization	0.0	Bohr magnetons per cell

=====

# 19
VASP calculation (PBE-GGA) on a relaxed Ta5Co crystal.

abc: 3.2808 13.4931 4.5949
angles: 90.00 90.00 90.00
Last column: nearest neighbours and their distance in Å.
Space group Cmmm (No. 65)
Symmetry-distinct sites (fractional):
Ta 0.0000 0.0000 0.0000  4 Ta 2.78, 4 Co 2.82
Ta 0.0000 0.1592 0.5000  2 Co 2.70, 6 Ta 2.82-2.95
Ta 0.0000 0.3337 0.0000  8 Ta 2.78-2.82
Co 0.0000 0.5000 0.5000  8 Ta 2.70-2.82

Computed properties:
D(E_F)	0.8450	states/eV/atom
excess energy over the best structure of this formula in the dataset	19	meV per atom
E_tot	-0.815	Ry/atom
spin magnetization	0.3	Bohr magnetons per cell

=====

# 20
VASP calculation (PBE-GGA) on a relaxed CrNiIr2 crystal.

abc: 5.9326 5.9326 5.9326
angles: 90.00 90.00 90.00
Last column: nearest neighbours and their distance in Å.
Space group Fm-3m (No. 225)
Symmetry-distinct sites (fractional):
Cr 0.0000 0.0000 0.0000  8 Ir 2.57
Ni 0.0000 0.0000 0.5000  8 Ir 2.57
Ir 0.2500 0.2500 0.2500  4 Cr 2.57, 4 Ni 2.57

Computed properties:
D(E_F)	1.8479	states/eV/atom
E_tot	-0.602	Ry/atom
spin magnetization	0.0	Bohr magnetons per cell